A plane-wave DFT calculation with GGA-PBEsol was carried out for a geometry-optimized YSc2Pt2 structure.

Computed properties:
E_tot	-7.7674	eV per atom
DOS at the Fermi energy	0.86	states/eV/atom
formation energy from the elements	-471	kJ/mol of formula units
symmetry	No. 127
M_tot	0.00	μB/f.u.

Cell lengths 7.4654, 7.4654, 3.6241 Å; angles 90.00, 90.00, 90.00 degrees
Atoms (fractional coordinates):
Y 0.0000 0.0000 0.0000
Y 0.5000 0.5000 0.0000
Sc 0.1552 0.3448 0.5000
Sc 0.3448 0.8448 0.5000
Sc 0.6552 0.1552 0.5000
Sc 0.8448 0.6552 0.5000
Pt 0.1377 0.6377 0.0000
Pt 0.3623 0.1377 0.0000
Pt 0.6377 0.8623 0.0000
Pt 0.8623 0.3623 0.0000

A plane-wave DFT calculation with GGA-PBEsol was carried out for a geometry-optimized YSc2Pt2 structure.

Computed properties:
E_tot	-7.7500	eV per atom
DOS at the Fermi energy	1.37	states/eV/atom
formation energy from the elements	-462	kJ/mol of formula units
symmetry	No. 139
M_tot	0.01	μB/f.u.

Cell lengths 6.5135, 6.5135, 6.5135 Å; angles 141.49, 141.49, 55.59 degrees
Atoms (fractional coordinates):
Y 0.0000 0.0000 0.0000
Sc 0.2500 0.7500 0.5000
Sc 0.7500 0.2500 0.5000
Pt 0.3871 0.3871 0.0000
Pt 0.6129 0.6129 0.0000

A plane-wave DFT calculation with GGA-PBEsol was carried out for a geometry-optimized YScPt2 structure.

Computed properties:
E_tot	-7.9858	eV per atom
DOS at the Fermi energy	0.54	states/eV/atom
formation energy from the elements	-443	kJ/mol of formula units
symmetry	No. 225
M_tot	0.00	μB/f.u.

Cell lengths 4.7487, 4.7487, 4.7487 Å; angles 60.00, 60.00, 60.00 degrees
Atoms (fractional coordinates):
Y 0.0000 0.0000 0.0000
Sc 0.5000 0.5000 0.5000
Pt 0.2500 0.2500 0.2500
Pt 0.7500 0.7500 0.7500

A plane-wave DFT calculation with GGA-PBEsol was carried out for a geometry-optimized YScPt2 structure.

Computed properties:
E_tot	-8.0036	eV per atom
DOS at the Fermi energy	0.75	states/eV/atom
formation energy from the elements	-450	kJ/mol of formula units
symmetry	No. 38
M_tot	0.00	μB/f.u.

Cell lengths 4.3911, 5.3778, 5.3778 Å; angles 38.61, 90.00, 90.00 degrees
Atoms (fractional coordinates):
Y 0.0000 0.0000 0.0000
Sc 0.5000 0.2785 0.2785
Pt 0.0000 0.7293 0.7293
Pt 0.5000 0.5558 0.5558

A plane-wave DFT calculation with GGA-PBEsol was carried out for a geometry-optimized YScPt2 structure.

Computed properties:
E_tot	-7.9858	eV per atom
DOS at the Fermi energy	0.59	states/eV/atom
formation energy from the elements	-443	kJ/mol of formula units
symmetry	No. 123
M_tot	0.00	μB/f.u.

Cell lengths 4.7493, 4.7493, 3.3534 Å; angles 90.00, 90.00, 90.00 degrees
Atoms (fractional coordinates):
Y 0.0000 0.0000 0.0000
Sc 0.5000 0.5000 0.0000
Pt 0.0000 0.5000 0.5000
Pt 0.5000 0.0000 0.5000

A plane-wave DFT calculation with GGA-PBEsol was carried out for a geometry-optimized YScPt2 structure.

Computed properties:
E_tot	-7.6488	eV per atom
DOS at the Fermi energy	0.91	states/eV/atom
formation energy from the elements	-313	kJ/mol of formula units
symmetry	No. 216
M_tot	0.00	μB/f.u.

Cell lengths 4.6562, 4.6562, 4.6562 Å; angles 60.00, 60.00, 60.00 degrees
Atoms (fractional coordinates):
Y 0.0000 0.0000 0.0000
Sc 0.7500 0.7500 0.7500
Pt 0.2500 0.2500 0.2500
Pt 0.5000 0.5000 0.5000

A plane-wave DFT calculation with GGA-PBEsol was carried out for a geometry-optimized ScZn2Pt structure.

Computed properties:
E_tot	-4.8206	eV per atom
DOS at the Fermi energy	0.51	states/eV/atom
formation energy from the elements	-246	kJ/mol of formula units
symmetry	No. 216
M_tot	0.00	μB/f.u.

Cell lengths 4.4431, 4.4431, 4.4431 Å; angles 60.00, 60.00, 60.00 degrees
Atoms (fractional coordinates):
Sc 0.0000 0.0000 0.0000
Zn 0.2500 0.2500 0.2500
Zn 0.5000 0.5000 0.5000
Pt 0.7500 0.7500 0.7500

A plane-wave DFT calculation with GGA-PBEsol was carried out for a geometry-optimized ScZn3Pt structure.

Computed properties:
E_tot	-3.6382	eV per atom
DOS at the Fermi energy	0.87	states/eV/atom
formation energy from the elements	12	kJ/mol of formula units
symmetry	No. 221
M_tot	0.00	μB/f.u.

Cell lengths 4.6731, 4.6731, 4.6731 Å; angles 90.00, 90.00, 90.00 degrees
Atoms (fractional coordinates):
Sc 0.0000 0.0000 0.0000
Zn 0.0000 0.5000 0.5000
Zn 0.5000 0.0000 0.5000
Zn 0.5000 0.5000 0.0000
Pt 0.5000 0.5000 0.5000